No. 1
DFT (PBE) results for AgSn3S6 after structural relaxation.

Values from the calculation:
Mass density, g/cm3: 4.33
Energy, hartree per atom: -0.156
N(E_F), states/eV per cell: 3.16
Spin magnetization, μB per formula unit: 0.0
Formation energy from raw total energies, meV/atom: -285.5

Cell and atoms, written as POSCAR:
```
AgSn3S6
1.0
10.059 0.000 0.000
0.000 3.711 0.000
-4.923 0.000 13.485
Ag Sn S
2 6 12
direct
0.146 0.250 0.452
0.854 0.750 0.548
0.074 0.750 0.917
0.209 0.250 0.743
0.477 0.250 0.376
0.523 0.750 0.624
0.791 0.750 0.257
0.926 0.250 0.083
0.024 0.750 0.216
0.118 0.750 0.611
0.166 0.250 0.050
0.306 0.750 0.877
0.325 0.750 0.451
0.467 0.250 0.731
0.533 0.750 0.269
0.675 0.250 0.549
0.694 0.250 0.123
0.834 0.750 0.950
0.882 0.250 0.389
0.976 0.250 0.784
```



No. 2
DFT (PBE) results for Ca2TaCu after structural relaxation.

Values from the calculation:
Formation energy from the elements, meV per atom: 335
Mass density, g/cm3: 5.49
Energy, hartree per atom: -0.171
N(E_F), states/eV per cell: 3.17
Spin magnetization, μB per formula unit: 0.0
Energy above the lowest structure with this stoichiometry, eV per formula unit: 0.000

Cell and atoms, written as POSCAR:
```
Ca2TaCu
1.0
3.288 0.000 0.000
0.000 3.288 0.000
0.000 0.000 9.081
Ca Ta Cu
2 1 1
direct
0.000 0.000 0.000
0.500 0.500 0.369
0.500 0.500 0.739
0.000 0.000 0.596
```